DFT (PBE) results for a geometry-optimized ZrB3Cl structure.

Output
crystal system	cubic
electronic total energy	-4.39	eV per atom
V	12.328	Å³ per atom
energy relative to the lowest polymorph listed for this composition	0.000	eV per atom
total moment	0.00	μB/atom
E_form (uncorrected)	1.70	eV per atom

Unit cell a=3.9502 b=3.9502 c=3.9502 alpha=90.00 beta=90.00 gamma=90.00
Space group Pm-3m (No. 221)
Symmetry-distinct sites (fractional):
Zr: 0.0000 0.0000 0.0000 (multiplicity 1)
B: 0.0000 0.5000 0.5000 (multiplicity 3)
Cl: 0.5000 0.5000 0.5000 (multiplicity 1)